# 1
# ZrScAl2, optimized geometry, DFT PBE
data_ZrScAl2
_chemical_formula_sum 'Zr1 Sc1 Al2'
_cell_length_a 3.083
_cell_length_b 4.091
_cell_length_c 6.130
_cell_angle_alpha 90.00
_cell_angle_beta 90.00
_cell_angle_gamma 90.00
_space_group_name_H-M_alt 'P m m m'
_space_group_IT_number 47
loop_
_space_group_symop_operation_xyz
'x,y,z'
'-x,-y,-z'
'-x,-y,z'
'x,y,-z'
'x,-y,-z'
'-x,y,z'
'-x,y,-z'
'x,-y,z'
loop_
_atom_site_label
_atom_site_fract_x
_atom_site_fract_y
_atom_site_fract_z
Zr1 0.000 0.000 0.000
Sc1 0.000 0.000 0.500
Al1 0.500 0.500 0.249
# offset from the most stable computed form: 2 kJ/mol of formula units
# formation enthalpy at 0 K: -0.4341 eV per atom
# total moment: 0.000 μB/f.u.
# density of states at the Fermi level: 3.34 states/eV/cell
# E_tot: -24.10 eV for the cell shown

***

# 2
# SbWAu2, optimized geometry, DFT PBE
data_SbWAu2
_chemical_formula_sum 'Sb4 W4 Au8'
_cell_length_a 7.691
_cell_length_b 7.691
_cell_length_c 5.474
_cell_angle_alpha 90.00
_cell_angle_beta 90.00
_cell_angle_gamma 90.00
_space_group_name_H-M_alt 'I -4 2 d'
_space_group_IT_number 122
_space_group_name_Hall 'I -4 2bw'
loop_
_atom_site_label
_atom_site_fract_x
_atom_site_fract_y
_atom_site_fract_z
Sb1 0.000 0.000 0.000
W1 0.000 0.000 0.500
Au1 0.239 0.750 0.625
# total moment: 0.817 μB/f.u.
# formation energy without anion corrections: 0.5940 eV per atom
# density of states at the Fermi level: 9.03 states/eV/cell
# E_tot: -85.02 eV for the cell shown

***

# 3
# AcTa2ZnO8, optimized geometry, DFT PBE
data_AcTa2ZnO8
_chemical_formula_sum 'Ac1 Ta2 Zn1 O8'
_cell_length_a 5.136
_cell_length_b 5.139
_cell_length_c 6.473
_cell_angle_alpha 88.73
_cell_angle_beta 88.74
_cell_angle_gamma 84.50
_space_group_name_H-M_alt 'P -1'
_space_group_IT_number 2
loop_
_space_group_symop_operation_xyz
'x,y,z'
'-x,-y,-z'
loop_
_atom_site_label
_atom_site_fract_x
_atom_site_fract_y
_atom_site_fract_z
Ac1 0.000 0.000 0.000
Ta1 0.480 0.480 0.262
Zn1 0.000 0.000 0.500
O1 0.211 0.775 0.714
O2 0.226 0.790 0.286
O3 0.325 0.326 0.502
O4 0.334 0.336 0.016
# total moment: 1.019 μB/f.u.
# formation energy without anion corrections: -2.4585 eV per atom
# density of states at the Fermi level: 6.22 states/eV/cell
# E_tot: -98.25 eV for the cell shown

***

# 4
# Bi2PbAu2, optimized geometry, DFT PBE
data_Bi2PbAu2
_chemical_formula_sum 'Bi4 Pb2 Au4'
_cell_length_a 8.875
_cell_length_b 8.875
_cell_length_c 3.392
_cell_angle_alpha 90.00
_cell_angle_beta 90.00
_cell_angle_gamma 90.00
_space_group_name_H-M_alt 'P 4/m b m'
_space_group_IT_number 127
_space_group_name_Hall '-P 4 2ab'
loop_
_atom_site_label
_atom_site_fract_x
_atom_site_fract_y
_atom_site_fract_z
Bi1 0.141 0.359 0.000
Pb1 0.000 0.000 0.000
Au1 0.161 0.661 0.500
# offset from the most stable computed form: 63 kJ/mol of formula units
# formation enthalpy at 0 K: 0.0902 eV per atom
# total moment: 0.000 μB/f.u.
# density of states at the Fermi level: 7.28 states/eV/cell
# E_tot: -35.15 eV for the cell shown

***

# 5
# WC2, optimized geometry, DFT PBE
data_WC2
_chemical_formula_sum 'W4 C8'
_cell_length_a 4.454
_cell_length_b 4.454
_cell_length_c 5.495
_cell_angle_alpha 90.00
_cell_angle_beta 90.00
_cell_angle_gamma 90.00
_space_group_name_H-M_alt 'I 4/m c m'
_space_group_IT_number 140
_space_group_name_Hall '-I 4 2c'
loop_
_atom_site_label
_atom_site_fract_x
_atom_site_fract_y
_atom_site_fract_z
W1 0.000 0.000 0.250
C1 0.115 0.385 0.000
# offset from the most stable computed form: 0 kJ/mol of formula units
# formation enthalpy at 0 K: 0.5157 eV per atom
# total moment: 0.000 μB/f.u.
# density of states at the Fermi level: 1.20 states/eV/cell
# E_tot: -119.42 eV for the cell shown

***

# 6
# NdIn4Ag2, optimized geometry, DFT PBE
data_NdIn4Ag2
_chemical_formula_sum 'Nd4 In16 Ag8'
_cell_length_a 18.747
_cell_length_b 4.759
_cell_length_c 7.522
_cell_angle_alpha 90.00
_cell_angle_beta 90.00
_cell_angle_gamma 90.00
_space_group_name_H-M_alt 'P n m a'
_space_group_IT_number 62
loop_
_space_group_symop_operation_xyz
'x,y,z'
'-x,-y,-z'
'-x+1/2,-y,z+1/2'
'x+1/2,y,-z+1/2'
'x+1/2,-y+1/2,-z+1/2'
'-x+1/2,y+1/2,z+1/2'
'-x,y+1/2,-z'
'x,-y+1/2,z'
loop_
_atom_site_label
_atom_site_fract_x
_atom_site_fract_y
_atom_site_fract_z
Nd1 0.142 0.250 0.025
In1 0.034 0.750 0.859
In2 0.067 0.250 0.481
In3 0.185 0.750 0.325
In4 0.188 0.750 0.734
Ag1 0.038 0.750 0.244
Ag2 0.217 0.250 0.533
# formation enthalpy at 0 K: -0.2466 eV per atom
# total moment: 0.000 μB/f.u.
# density of states at the Fermi level: 10.83 states/eV/cell
# E_tot: -92.60 eV for the cell shown